Ce4PuRh: relaxed, GGA-PBE.

```
24
Lattice="6.934 0.571 0.000 -0.336 10.232 0.000 0.000 0.000 8.441" Properties=species:S:1:pos:R:3 pbc="T T T"
Rh 1.693 1.267 7.980
Rh 4.905 9.536 0.461
Rh 1.606 4.135 3.759
Rh 4.992 6.669 4.682
Pu 1.652 6.412 7.989
Pu 4.946 4.391 0.452
Pu 5.287 1.581 4.673
Pu 1.310 9.222 3.768
Ce 0.590 9.041 1.115
Ce 6.008 1.762 7.326
Ce 4.225 4.211 3.105
Ce 2.165 1.362 4.873
Ce 3.158 9.379 6.967
Ce 3.542 3.773 6.703
Ce 5.464 6.764 7.789
Ce 3.440 1.424 1.474
Ce -0.094 8.603 5.958
Ce 4.433 9.441 3.568
Ce 6.794 4.549 5.694
Ce -0.196 6.254 2.747
Ce 1.134 4.040 0.652
Ce 2.372 6.592 5.336
Ce 6.692 2.200 2.483
Ce 3.056 7.031 1.738
```

## Properties
Symmetry: No. 14
Crystal system: monoclinic
ΔE_f: -0.19 eV per atom
Electronic total energy: -0.2853 Ha/atom
Magnetic moment: 1.030 μB per atom

=====

Pm5NdZn6: relaxed, GGA-PBE.

```
12
Lattice="1.050 3.462 3.695 -5.655 -2.501 3.952 5.219 -3.397 5.318" Properties=species:S:1:pos:R:3 pbc="T T T"
Zn -0.895 1.103 2.841
Zn 2.229 -2.309 5.149
Zn -0.587 -3.554 7.117
Zn 1.201 1.119 5.848
Zn -3.709 -0.142 4.807
Zn -1.615 -0.126 7.816
Pm 1.355 -1.210 7.987
Pm 4.177 0.046 6.007
Pm 2.092 0.019 3.006
Pm -2.827 -1.251 1.976
Pm -0.741 -1.225 4.978
Nd 0.000 0.000 0.000
```

## Properties
Symmetry: No. 65
Crystal system: orthorhombic
ΔE_f: -0.31 eV per atom
Electronic total energy: -0.1223 Ha/atom
Magnetic moment: 0.000 μB per atom

=====

TbZr2Pb: relaxed, GGA-PBE.

```
4
Lattice="4.648 0.000 0.000 0.000 4.609 0.000 0.000 0.000 4.609" Properties=species:S:1:pos:R:3 pbc="T T T"
Pb 2.324 2.304 2.304
Tb 2.324 0.000 0.000
Zr 0.000 0.000 2.304
Zr 0.000 2.304 0.000
```

## Properties
Symmetry: No. 123
Crystal system: tetragonal
ΔE_f: -0.13 eV per atom
Electronic total energy: -0.2385 Ha/atom
Magnetic moment: 0.000 μB per atom

=====

> Which of these has the lowest electronic total energy?

Ce4PuRh

=====

> What is the magnetic moment in the second record?

0.000 μB per atom

=====

> Number 2 is which compound?

Pm5NdZn6